Entry 1:
VASP calculation (GGA-PBE) on a geometry-optimized Sr4Mg5Ge6 structure.

Summary:
The density of states at the Fermi level is 0.694 states/eV/atom. Its symmetry is Cmc2_1. The total moment comes out at 0.00 μB/atom. The total energy comes out at -97.338 eV per cell.

abc: 10.6050 10.6050 16.7621
angles: 90.00 90.00 155.01
Atoms (fractional coordinates):
1 Sr 0.0127 0.9872 0.5000
2 Sr 0.0312 0.9688 0.7561
3 Sr 0.1688 0.8312 0.3013
4 Sr 0.1772 0.8228 0.9388
5 Sr 0.8228 0.1772 0.4388
6 Sr 0.8312 0.1688 0.8013
7 Sr 0.9688 0.0312 0.2561
8 Sr 0.9872 0.0127 0.0000
9 Mg 0.1512 0.8488 0.6192
10 Mg 0.2976 0.7024 0.6173
11 Mg 0.3422 0.6578 0.2557
12 Mg 0.3522 0.6478 0.9825
13 Mg 0.4397 0.5603 0.6594
14 Mg 0.5603 0.4397 0.1594
15 Mg 0.6478 0.3522 0.4825
16 Mg 0.6578 0.3422 0.7557
17 Mg 0.7024 0.2976 0.1173
18 Mg 0.8488 0.1512 0.1192
19 Ge 0.1186 0.8814 0.1186
20 Ge 0.2187 0.7813 0.4812
21 Ge 0.2241 0.7759 0.7569
22 Ge 0.4287 0.5713 0.1237
23 Ge 0.4365 0.5635 0.3885
24 Ge 0.4476 0.5524 0.8534
25 Ge 0.5524 0.4476 0.3534
26 Ge 0.5635 0.4365 0.8885
27 Ge 0.5713 0.4287 0.6237
28 Ge 0.7759 0.2241 0.2569
29 Ge 0.7813 0.2187 0.9812
30 Ge 0.8814 0.1186 0.6186



Entry 2:
VASP calculation (GGA-PBE) on a geometry-optimized SrMgGe3 structure.

Summary:
The density of states at the Fermi level is 0.313 states/eV/atom. Its symmetry is Cmcm. The total moment comes out at 0.00 μB/atom. The total energy comes out at -37.479 eV per cell.

abc: 13.6530 13.6530 4.1014
angles: 90.00 90.00 161.71
Atoms (fractional coordinates):
1 Sr 0.0813 0.9187 0.7500
2 Sr 0.9187 0.0813 0.2500
3 Mg 0.2047 0.7953 0.2500
4 Mg 0.7953 0.2047 0.7500
5 Ge 0.3061 0.6939 0.2500
6 Ge 0.3650 0.6350 0.7500
7 Ge 0.4729 0.5271 0.7500
8 Ge 0.5271 0.4729 0.2500
9 Ge 0.6350 0.3650 0.2500
10 Ge 0.6939 0.3061 0.7500



Entry 3:
VASP calculation (GGA-PBE) on a geometry-optimized SrMg2Ge structure.

Summary:
The density of states at the Fermi level is 0.693 states/eV/atom. Its symmetry is I-42d. The total moment comes out at 0.00 μB/atom. The total energy comes out at -18.657 eV per cell.

abc: 11.1842 11.1842 11.1842
angles: 156.20 156.20 33.91
Atoms (fractional coordinates):
1 Sr 0.0000 0.0000 0.0000
2 Sr 0.7500 0.2500 0.5000
3 Mg 0.1821 0.6250 0.0571
4 Mg 0.3750 0.4321 0.5571
5 Mg 0.5679 0.1250 0.9429
6 Mg 0.8750 0.8179 0.4429
7 Ge 0.2500 0.7500 0.5000
8 Ge 0.5000 0.5000 0.0000



Entry 4:
VASP calculation (GGA-PBE) on a geometry-optimized Sr2Mg2Ge structure.

Summary:
The density of states at the Fermi level is 0.664 states/eV/atom. Its symmetry is P4/mbm. The total moment comes out at 0.00 μB/atom. The total energy comes out at -23.452 eV per cell.

abc: 7.5195 7.5195 5.4512
angles: 90.00 90.00 90.00
Atoms (fractional coordinates):
1 Sr 0.1823 0.3177 0.0000
2 Sr 0.3177 0.8177 0.0000
3 Sr 0.6823 0.1823 0.0000
4 Sr 0.8177 0.6823 0.0000
5 Mg 0.1352 0.6352 0.5000
6 Mg 0.3648 0.1352 0.5000
7 Mg 0.6352 0.8648 0.5000
8 Mg 0.8648 0.3648 0.5000
9 Ge 0.0000 0.0000 0.5000
10 Ge 0.5000 0.5000 0.5000



> density of states at the Fermi level of number 2 (SrMgGe3)?

0.313 states/eV/atom



> Which of these has the highest density of states at the Fermi level?

Sr4Mg5Ge6